#A
YRe2Os: single point on PBEsol structure, SCAN.

```
data_YRe2Os
_space_group_name_H-M_alt 'P 1'
_space_group_IT_number 1
_cell_length_a 2.797
_cell_length_b 2.797
_cell_length_c 8.492
_cell_angle_alpha 90.00
_cell_angle_beta 90.00
_cell_angle_gamma 90.00
loop_
_space_group_symop_operation_xyz
'x,y,z'
loop_
_atom_site_label
_atom_site_fract_x
_atom_site_fract_y
_atom_site_fract_z
Os1 0.500 0.500 0.500
Re1 0.000 0.000 0.715
Re2 0.000 0.000 0.285
Y1 0.500 0.500 0.000
```

- Theoretical density: 16.28 g cm⁻³
- Fermi-level density of states: 0.680 states/eV per atom


#B
YRe2Os: single point on PBEsol structure, SCAN.

```
data_YRe2Os
_space_group_name_H-M_alt 'P 1'
_space_group_IT_number 1
_cell_length_a 2.901
_cell_length_b 4.758
_cell_length_c 5.312
_cell_angle_alpha 106.16
_cell_angle_beta 105.85
_cell_angle_gamma 90.00
loop_
_space_group_symop_operation_xyz
'x,y,z'
loop_
_atom_site_label
_atom_site_fract_x
_atom_site_fract_y
_atom_site_fract_z
Os1 0.000 0.500 0.000
Re1 0.277 0.290 0.554
Re2 0.723 0.710 0.446
Y1 0.500 0.000 0.000
```

- Theoretical density: 16.02 g cm⁻³
- Fermi-level density of states: 0.774 states/eV per atom


Most stable to least stable, the ends of the list are #B and #A.


#A
YReOs2: single point on PBEsol structure, SCAN.

```
data_YReOs2
_space_group_name_H-M_alt 'P 1'
_space_group_IT_number 1
_cell_length_a 4.493
_cell_length_b 4.493
_cell_length_c 4.493
_cell_angle_alpha 91.72
_cell_angle_beta 119.01
_cell_angle_gamma 119.01
loop_
_space_group_symop_operation_xyz
'x,y,z'
loop_
_atom_site_label
_atom_site_fract_x
_atom_site_fract_y
_atom_site_fract_z
Os1 0.500 0.750 0.250
Os2 0.500 0.250 0.750
Re1 0.000 0.000 0.000
Y1 0.000 0.500 0.500
```

- Theoretical density: 16.73 g cm⁻³
- Fermi-level density of states: 1.121 states/eV per atom


#B
YReOs2: single point on PBEsol structure, SCAN.

```
data_YReOs2
_space_group_name_H-M_alt 'P 1'
_space_group_IT_number 1
_cell_length_a 2.857
_cell_length_b 4.641
_cell_length_c 5.716
_cell_angle_alpha 113.95
_cell_angle_beta 104.47
_cell_angle_gamma 90.00
loop_
_space_group_symop_operation_xyz
'x,y,z'
loop_
_atom_site_label
_atom_site_fract_x
_atom_site_fract_y
_atom_site_fract_z
Os1 0.030 0.030 0.061
Os2 0.749 0.249 0.498
Re1 0.469 0.469 0.937
Y1 0.252 0.752 0.505
```

- Theoretical density: 16.34 g cm⁻³
- Fermi-level density of states: 0.890 states/eV per atom


Most stable to least stable, the ends of the list are #B and #A.